No. 1
DFT (GGA-PBEsol) results for a relaxed structure of Zr2FeOs.

The space group is Fm-3m (No. 225) and the conventional cell measures 6.389, 6.389 and 6.389 Å, with angles of 90.00, 90.00 and 90.00 degrees. The inequivalent atoms are Zr at (0.250, 0.250, 0.250), Fe at (0.000, 0.000, 0.000) and Os at (0.000, 0.000, 0.500).

The energy comes out at -163.58 eV for the cell shown. As for the total magnetization: 0.0 μB/f.u.

No. 2
DFT (GGA-PBEsol) results for a relaxed structure of Mn2IrRh.

The space group is Fm-3m (No. 225) and the conventional cell measures 5.978, 5.978 and 5.978 Å, with angles of 90.00, 90.00 and 90.00 degrees. The inequivalent atoms are Mn at (0.250, 0.250, 0.250), Ir at (0.000, 0.000, 0.000) and Rh at (0.000, 0.000, 0.500).

The energy comes out at -150.44 eV for the cell shown. As for the total magnetization: 8.0 μB/f.u.

No. 3
DFT (GGA-PBEsol) results for a relaxed structure of LaMoP.

The space group is I4mm (No. 107) and the conventional cell measures 3.265, 3.265 and 10.721 Å, with angles of 90.00, 90.00 and 90.00 degrees. The inequivalent atoms are La at (0.000, 0.000, 0.000), Mo at (0.000, 0.000, 0.288) and P at (0.000, 0.000, 0.703).

The energy comes out at -48.73 eV for the cell shown. As for the total magnetization: 0.0 μB/f.u.

No. 4
DFT (GGA-PBEsol) results for a relaxed structure of CaMg3Cu2.

The space group is Cmcm (No. 63) and the conventional cell measures 9.514, 9.130 and 5.398 Å, with angles of 90.00, 90.00 and 90.00 degrees. The inequivalent atoms are Ca at (0.000, 0.105, 0.250), Mg at (0.000, 0.450, 0.250), Mg at (0.172, 0.246, 0.750) and Cu at (0.239, 0.500, 0.000).

The energy comes out at -65.47 eV for the cell shown. As for the total magnetization: 0.0 μB/f.u.

No. 5
DFT (GGA-PBEsol) results for a relaxed structure of Zr4CrAu.

The space group is F-43m (No. 216) and the conventional cell measures 7.841, 7.841 and 7.841 Å, with angles of 90.00, 90.00 and 90.00 degrees. The inequivalent atoms are Zr at (0.124, 0.124, 0.124), Cr at (0.250, 0.250, 0.750) and Au at (0.000, 0.000, 0.500).

The energy comes out at -191.14 eV for the cell shown. As for the total magnetization: 3.4 μB/f.u.

No. 6
DFT (GGA-PBEsol) results for a relaxed structure of Ag2PRu.

The space group is Imm2 (No. 44) and the conventional cell measures 3.094, 4.446 and 8.928 Å, with angles of 90.00, 90.00 and 90.00 degrees. The inequivalent atoms are Ag at (0.000, 0.000, 0.000), Ag at (0.000, 0.500, 0.214), P at (0.000, 0.500, 0.754) and Ru at (0.000, 0.000, 0.432).

The energy comes out at -43.38 eV for the cell shown. As for the total magnetization: 0.0 μB/f.u.

Look up the energy of the fifth one.
-191.14 eV for the cell shown

Which formula does entry 5 have?
Zr4CrAu

The highest energy belongs to which entry?
Ag2PRu

The highest total magnetization belongs to which entry?
Mn2IrRh